{"formula": "Tb2Zn3Cu12Au", "functional": "PBE", "state": "optimized geometry", "rho_g_cm3": 8.1, "spacegroup": "R-3m", "n_ef_per_ev_atom": 0.422, "energy_ev_per_atom": -3.55, "delta_e_f_mev_per_atom": 89, "lattice_angstrom": [[3.135, 1.810, 8.826], [-3.135, 1.810, 8.826], [0.000, -3.620, 8.826]], "species": ["Tb", "Tb", "Zn", "Zn", "Zn", "Cu", "Cu", "Cu", "Cu", "Cu", "Cu", "Cu", "Cu", "Cu", "Cu", "Cu", "Cu", "Au"], "frac_coords": [[0.141, 0.141, 0.141], [0.859, 0.859, 0.859], [0.000, 0.500, 0.500], [0.500, 0.000, 0.500], [0.500, 0.500, 0.000], [0.059, 0.622, 0.622], [0.082, 0.082, 0.701], [0.082, 0.701, 0.082], [0.299, 0.918, 0.918], [0.378, 0.378, 0.941], [0.378, 0.941, 0.378], [0.622, 0.059, 0.622], [0.622, 0.622, 0.059], [0.701, 0.082, 0.082], [0.918, 0.299, 0.918], [0.918, 0.918, 0.299], [0.941, 0.378, 0.378], [0.500, 0.500, 0.500]]}


{"formula": "Tb4ZnCu2Au", "functional": "PBE", "state": "optimized geometry", "rho_g_cm3": 9.5, "spacegroup": "R-3m", "n_ef_per_ev_atom": 0.695, "energy_ev_per_atom": -4.32, "delta_e_f_mev_per_atom": -415, "lattice_angstrom": [[2.503, 1.445, 8.236], [-2.503, 1.445, 8.236], [0.000, -2.890, 8.236]], "species": ["Tb", "Tb", "Tb", "Tb", "Zn", "Cu", "Cu", "Au"], "frac_coords": [[0.125, 0.125, 0.125], [0.375, 0.375, 0.375], [0.625, 0.625, 0.625], [0.875, 0.875, 0.875], [0.000, 0.000, 0.000], [0.255, 0.255, 0.255], [0.745, 0.745, 0.745], [0.500, 0.500, 0.500]]}


{"formula": "TbZnCu2Au4", "functional": "PBE", "state": "optimized geometry", "rho_g_cm3": 13.4, "spacegroup": "R-3m", "n_ef_per_ev_atom": 0.391, "energy_ev_per_atom": -3.71, "delta_e_f_mev_per_atom": -314, "lattice_angstrom": [[2.320, 1.339, 7.555], [-2.320, 1.339, 7.555], [0.000, -2.679, 7.555]], "species": ["Tb", "Zn", "Cu", "Cu", "Au", "Au", "Au", "Au"], "frac_coords": [[0.000, 0.000, 0.000], [0.500, 0.500, 0.500], [0.256, 0.256, 0.256], [0.744, 0.744, 0.744], [0.133, 0.133, 0.133], [0.387, 0.387, 0.387], [0.613, 0.613, 0.613], [0.867, 0.867, 0.867]]}


{"formula": "CuTcAu2", "functional": "PBE", "state": "optimized geometry", "rho_g_cm3": 14.3, "e_above_lowest_polymorph_ev_per_atom": 0.092, "spacegroup": "P4/mmm", "n_ef_per_ev_atom": 0.475, "energy_ev_per_atom": -4.95, "delta_e_f_mev_per_atom": 301, "lattice_angstrom": [[4.865, 0.000, 0.000], [0.000, 4.865, 0.000], [0.000, 0.000, 2.727]], "species": ["Cu", "Tc", "Au", "Au"], "frac_coords": [[0.000, 0.000, 0.000], [0.500, 0.500, 0.000], [0.000, 0.500, 0.500], [0.500, 0.000, 0.500]]}


{"formula": "CuTc2Au", "functional": "PBE", "state": "optimized geometry", "rho_g_cm3": 12.9, "e_above_lowest_polymorph_ev_per_atom": 0.162, "spacegroup": "I-4m2", "n_ef_per_ev_atom": 0.858, "energy_ev_per_atom": -6.75, "delta_e_f_mev_per_atom": 274, "lattice_angstrom": [[-1.951, 1.951, 3.860], [1.951, -1.951, 3.860], [1.951, 1.951, -3.860]], "species": ["Cu", "Tc", "Tc", "Au"], "frac_coords": [[0.000, 0.000, 0.000], [0.250, 0.750, 0.500], [0.500, 0.500, 0.000], [0.750, 0.250, 0.500]]}


{"formula": "CuTcAu2", "functional": "PBE", "state": "optimized geometry", "rho_g_cm3": 14.2, "e_above_lowest_polymorph_ev_per_atom": 0.208, "spacegroup": "Pmmm", "n_ef_per_ev_atom": 0.509, "energy_ev_per_atom": -4.84, "delta_e_f_mev_per_atom": 417, "lattice_angstrom": [[2.732, 0.000, 0.000], [0.000, 4.863, 0.000], [0.000, 0.000, 4.886]], "species": ["Cu", "Tc", "Au", "Au"], "frac_coords": [[0.000, 0.000, 0.000], [0.500, 0.000, 0.500], [0.000, 0.500, 0.500], [0.500, 0.500, 0.000]]}


{"formula": "CuTc2Au", "functional": "PBE", "state": "optimized geometry", "rho_g_cm3": 12.6, "e_above_lowest_polymorph_ev_per_atom": 0.084, "spacegroup": "Pm", "n_ef_per_ev_atom": 1.071, "energy_ev_per_atom": -6.83, "delta_e_f_mev_per_atom": 196, "lattice_angstrom": [[2.812, 0.000, 0.000], [0.000, 3.798, 0.000], [-0.148, 0.000, 5.615]], "species": ["Cu", "Tc", "Tc", "Au"], "frac_coords": [[0.000, 0.000, 0.000], [0.531, 0.500, 0.259], [0.962, 0.000, 0.465], [0.495, 0.500, 0.763]]}


{"formula": "Cu3TcAu", "functional": "PBE", "state": "optimized geometry", "rho_g_cm3": 7.8, "e_above_lowest_polymorph_ev_per_atom": 0.000, "spacegroup": "Pm-3m", "n_ef_per_ev_atom": 0.995, "energy_ev_per_atom": -3.81, "delta_e_f_mev_per_atom": 1379, "lattice_angstrom": [[4.697, 0.000, 0.000], [0.000, 4.697, 0.000], [0.000, 0.000, 4.697]], "species": ["Cu", "Cu", "Cu", "Tc", "Au"], "frac_coords": [[0.000, 0.000, 0.500], [0.000, 0.500, 0.000], [0.500, 0.000, 0.000], [0.500, 0.500, 0.500], [0.000, 0.000, 0.000]]}